A plane-wave DFT calculation with PBEsol was carried out for crystalline BeAlRu2 at its relaxed geometry.

Total DFT energy (no corrections) in eV/atom: -7.29
SG: C2/m
M_tot in μB per formula unit: 0.0
Energy of formation in eV per atom: -0.177

Cell lengths 4.1395, 4.1395, 4.7600 Å; angles 102.74, 102.74, 39.03 degrees
Sites, in units of the cell vectors:
Be 0.0000 0.0000 0.0000
Al 0.5000 0.5000 0.5000
Ru 0.2603 0.2603 0.7749
Ru 0.7397 0.7397 0.2251



A plane-wave DFT calculation with PBEsol was carried out for crystalline Be2AlRu at its relaxed geometry.

Total DFT energy (no corrections) in eV/atom: -5.95
SG: Imm2
M_tot in μB per formula unit: 0.0
Energy of formation in eV per atom: -0.382

Cell lengths 4.5224, 4.5224, 4.5224 Å; angles 140.79, 131.53, 64.04 degrees
Sites, in units of the cell vectors:
Be 0.0000 0.0000 0.0000
Be 0.7741 0.2741 0.5000
Al 0.5100 0.5100 0.0000
Ru 0.2451 0.7451 0.5000



A plane-wave DFT calculation with PBEsol was carried out for crystalline BeAlRu2 at its relaxed geometry.

Total DFT energy (no corrections) in eV/atom: -7.21
SG: C2/m
M_tot in μB per formula unit: 0.0
Energy of formation in eV per atom: -0.098

Cell lengths 4.6629, 4.6629, 2.6830 Å; angles 103.05, 103.05, 110.99 degrees
Sites, in units of the cell vectors:
Be 0.0000 0.0000 0.0000
Al 0.5000 0.5000 0.0000
Ru 0.0000 0.5000 0.5000
Ru 0.5000 0.0000 0.5000



A plane-wave DFT calculation with PBEsol was carried out for crystalline BeAl4Ru at its relaxed geometry.

Total DFT energy (no corrections) in eV/atom: -4.87
SG: F-43m
M_tot in μB per formula unit: 0.0
Energy of formation in eV per atom: 0.222

Cell lengths 4.9437, 4.9437, 4.9437 Å; angles 60.00, 60.00, 60.00 degrees
Sites, in units of the cell vectors:
Be 0.0000 0.0000 0.0000
Al 0.1275 0.6242 0.6242
Al 0.6242 0.1275 0.6242
Al 0.6242 0.6242 0.1275
Al 0.6242 0.6242 0.6242
Ru 0.2500 0.2500 0.2500



A plane-wave DFT calculation with PBEsol was carried out for crystalline Be4AlRu at its relaxed geometry.

Total DFT energy (no corrections) in eV/atom: -5.44
SG: F-43m
M_tot in μB per formula unit: 0.0
Energy of formation in eV per atom: -0.391

Cell lengths 4.3058, 4.3058, 4.3058 Å; angles 60.00, 60.00, 60.00 degrees
Sites, in units of the cell vectors:
Be 0.3766 0.3766 0.3766
Be 0.3766 0.3766 0.8702
Be 0.3766 0.8702 0.3766
Be 0.8702 0.3766 0.3766
Al 0.0000 0.0000 0.0000
Ru 0.7500 0.7500 0.7500



A plane-wave DFT calculation with PBEsol was carried out for crystalline BeAlRu2 at its relaxed geometry.

Total DFT energy (no corrections) in eV/atom: -7.31
SG: Immm
M_tot in μB per formula unit: 0.0
Energy of formation in eV per atom: -0.203

Cell lengths 4.6420, 4.6420, 4.6420 Å; angles 143.35, 123.58, 69.18 degrees
Sites, in units of the cell vectors:
Be 0.0000 0.0000 0.0000
Al 0.5000 0.5000 0.0000
Ru 0.2209 0.7209 0.5000
Ru 0.7791 0.2791 0.5000



A plane-wave DFT calculation with PBEsol was carried out for crystalline Be2AlRu at its relaxed geometry.

Total DFT energy (no corrections) in eV/atom: -5.79
SG: Pmmm
M_tot in μB per formula unit: 0.0
Energy of formation in eV per atom: -0.228

Cell lengths 3.1599, 3.6727, 3.7981 Å; angles 90.00, 90.00, 90.00 degrees
Sites, in units of the cell vectors:
Be 0.0000 0.0000 0.0000
Be 0.5000 0.0000 0.5000
Al 0.0000 0.5000 0.5000
Ru 0.5000 0.5000 0.0000



A plane-wave DFT calculation with PBEsol was carried out for crystalline BeAlRu at its relaxed geometry.

Total DFT energy (no corrections) in eV/atom: -5.80
SG: F-43m
M_tot in μB per formula unit: 0.0
Energy of formation in eV per atom: 0.289

Cell lengths 3.9044, 3.9044, 3.9044 Å; angles 60.00, 60.00, 60.00 degrees
Sites, in units of the cell vectors:
Be 0.0000 0.0000 0.0000
Al 0.2500 0.2500 0.2500
Ru 0.5000 0.5000 0.5000